(1)
# LaHf2PPt

A relaxed LaHf2PPt crystal (PBE, Alexandria via LeMat-Bulk).

Unit cell a=4.9321 b=4.6842 c=4.9321 alpha=90.00 beta=90.00 gamma=90.00
Last column: nearest neighbours and their distance in Å.
Positions (direct):
P 0.0000 0.0000 0.0000  2 Pt 2.34, 4 Hf 2.47
Hf 0.0000 0.0000 0.5000  2 P 2.47
Hf 0.5000 0.0000 0.0000  2 P 2.47
Pt 0.0000 0.5000 0.0000  2 P 2.34
La 0.5000 0.5000 0.5000  8 Hf 3.40, 4 Pt 3.49

Results
ΔE_f: -0.337 eV/atom



(2)
# La2PuHfP4

A relaxed La2PuHfP4 crystal (PBE, Alexandria via LeMat-Bulk).

Unit cell a=4.0294 b=6.9570 c=7.0495 alpha=109.12 beta=90.00 gamma=90.00
Last column: nearest neighbours and their distance in Å.
Positions (direct):
La 0.5000 0.0000 0.5000  6 P 3.01-3.02
La 0.0000 0.5000 0.5000  6 P 2.93-2.94
Pu 0.0000 0.0000 0.0000  6 P 2.79
Hf 0.5000 0.5000 0.0000  6 P 2.69-2.72
P 0.5000 0.2510 0.2230  1 Hf 2.69, 2 Pu 2.79, 3 La 2.94-3.02
P 0.5000 0.7490 0.7770  1 Hf 2.69, 2 Pu 2.79, 3 La 2.94-3.02
P 0.0000 0.2689 0.7800  2 Hf 2.72, 1 Pu 2.79, 3 La 2.93-3.01
P 0.0000 0.7311 0.2200  2 Hf 2.72, 1 Pu 2.79, 3 La 2.93-3.01

Results
ΔE_f: -1.380 eV/atom



(3)
# La2HfP3Rh4

A relaxed La2HfP3Rh4 crystal (PBE, Alexandria via LeMat-Bulk).

Unit cell a=4.0730 b=4.0730 c=10.8804 alpha=90.00 beta=90.00 gamma=90.00
Last column: nearest neighbours and their distance in Å.
Positions (direct):
La 0.5000 0.0000 0.2296  4 P 3.08, 8 Rh 3.18-3.22
La 0.0000 0.5000 0.7704  4 P 3.08, 8 Rh 3.18-3.22
Hf 0.5000 0.5000 0.5000  4 Rh 2.59, 4 P 2.88
P 0.0000 0.0000 0.5000  4 Rh 2.59, 4 Hf 2.88
P 0.5000 0.0000 0.8705  5 Rh 2.43-2.48
P 0.0000 0.5000 0.1295  5 Rh 2.43-2.48
Rh 0.5000 0.5000 0.0000  4 P 2.48
Rh 0.0000 0.0000 0.0000  4 P 2.48
Rh 0.5000 0.0000 0.6471  3 P 2.43-2.59, 2 Hf 2.59
Rh 0.0000 0.5000 0.3529  3 P 2.43-2.59, 2 Hf 2.59

Results
ΔE_f: -1.082 eV/atom



(4)
# LaHfPS2

A relaxed LaHfPS2 crystal (PBE, Alexandria via LeMat-Bulk).

Unit cell a=4.8599 b=5.0784 c=4.8599 alpha=90.00 beta=90.00 gamma=90.00
Last column: nearest neighbours and their distance in Å.
Positions (direct):
P 0.0000 0.5000 0.0000  2 Hf 2.54
S 0.0000 0.0000 0.5000  2 Hf 2.43
S 0.5000 0.0000 0.0000  2 Hf 2.43
Hf 0.0000 0.0000 0.0000  4 S 2.43, 2 P 2.54
La 0.5000 0.5000 0.5000  4 P 3.44, 8 S 3.51

Results
energy relative to the elements, uncorrected: -1331.4 meV per atom
distance to the lowest polymorph of the same formula: 0.000 eV per atom



(5)
# LaHfPS2

A relaxed LaHfPS2 crystal (PBE, Alexandria via LeMat-Bulk).

Unit cell a=5.2701 b=5.2701 c=5.4139 alpha=90.00 beta=90.00 gamma=90.00
Last column: nearest neighbours and their distance in Å.
Positions (direct):
P 0.0000 0.0000 0.5000  2 La 2.71
S 0.0000 0.5000 0.0000  2 La 2.64
S 0.5000 0.0000 0.0000  2 La 2.64
Hf 0.5000 0.5000 0.5000  4 P 3.73, 8 S 3.78
La 0.0000 0.0000 0.0000  4 S 2.64, 2 P 2.71

Results
energy relative to the elements, uncorrected: 342.2 meV per atom
distance to the lowest polymorph of the same formula: 1.674 eV per atom



(6)
# LaHfP2S

A relaxed LaHfP2S crystal (PBE, Alexandria via LeMat-Bulk).

Unit cell a=4.9497 b=4.9497 c=4.9195 alpha=90.00 beta=90.00 gamma=90.00
Last column: nearest neighbours and their distance in Å.
Positions (direct):
P 0.0000 0.5000 0.0000  2 Hf 2.47
P 0.5000 0.0000 0.0000  2 Hf 2.47
S 0.0000 0.0000 0.5000  2 Hf 2.46
Hf 0.0000 0.0000 0.0000  2 S 2.46, 4 P 2.47
La 0.5000 0.5000 0.5000  8 P 3.49, 4 S 3.50

Results
energy relative to the elements, uncorrected: -974.9 meV per atom
distance to the lowest polymorph of the same formula: 0.000 eV per atom



(7)
# LaHfP2S

A relaxed LaHfP2S crystal (PBE, Alexandria via LeMat-Bulk).

Unit cell a=5.2793 b=5.2793 c=5.2259 alpha=90.00 beta=90.00 gamma=90.00
Last column: nearest neighbours and their distance in Å.
Positions (direct):
P 0.0000 0.5000 0.0000  2 La 2.64
P 0.5000 0.0000 0.0000  2 La 2.64
S 0.0000 0.0000 0.5000  2 La 2.61
Hf 0.5000 0.5000 0.5000  8 P 3.71, 4 S 3.73
La 0.0000 0.0000 0.0000  2 S 2.61, 4 P 2.64

Results
energy relative to the elements, uncorrected: 687.5 meV per atom
distance to the lowest polymorph of the same formula: 1.662 eV per atom



(8)
# La2TbHfP4

A relaxed La2TbHfP4 crystal (PBE, Alexandria via LeMat-Bulk).

Unit cell a=4.0340 b=6.9970 c=7.0535 alpha=109.11 beta=90.00 gamma=90.00
Last column: nearest neighbours and their distance in Å.
Positions (direct):
La 0.5000 0.0000 0.5000  6 P 2.92
La 0.0000 0.5000 0.5000  6 P 3.01-3.02
Tb 0.5000 0.5000 0.0000  6 P 2.82
Hf 0.0000 0.0000 0.0000  6 P 2.71-2.73
P 0.5000 0.2299 0.2216  2 Hf 2.73, 1 Tb 2.82, 3 La 2.92-3.01
P 0.5000 0.7701 0.7784  2 Hf 2.73, 1 Tb 2.82, 3 La 2.92-3.01
P 0.0000 0.2453 0.7720  1 Hf 2.71, 2 Tb 2.82, 3 La 2.92-3.02
P 0.0000 0.7547 0.2280  1 Hf 2.71, 2 Tb 2.82, 3 La 2.92-3.02

Results
ΔE_f: -1.498 eV/atom



(9)
# La2HfThP4

A relaxed La2HfThP4 crystal (PBE, Alexandria via LeMat-Bulk).

Unit cell a=4.0769 b=7.0373 c=7.1393 alpha=109.20 beta=90.00 gamma=90.00
Last column: nearest neighbours and their distance in Å.
Positions (direct):
La 0.5000 0.0000 0.5000  6 P 2.92-2.93
La 0.0000 0.5000 0.5000  6 P 3.04-3.06
Hf 0.0000 0.0000 0.0000  6 P 2.72-2.75
Th 0.5000 0.5000 0.0000  6 P 2.87
P 0.5000 0.2268 0.2227  2 Hf 2.75, 1 Th 2.87, 3 La 2.92-3.04
P 0.5000 0.7732 0.7773  2 Hf 2.75, 1 Th 2.87, 3 La 2.92-3.04
P 0.0000 0.2400 0.7692  1 Hf 2.72, 2 Th 2.87, 2 La 2.93
P 0.0000 0.7600 0.2308  1 Hf 2.72, 2 Th 2.87, 2 La 2.93

Results
ΔE_f: -1.462 eV/atom



(10)
# LaHfTi2P

A relaxed LaHfTi2P crystal (PBE, Alexandria via LeMat-Bulk).

Unit cell a=4.7319 b=5.0101 c=4.7319 alpha=90.00 beta=90.00 gamma=90.00
Last column: nearest neighbours and their distance in Å.
Positions (direct):
P 0.0000 0.0000 0.0000  4 Ti 2.37, 2 Hf 2.51
Ti 0.0000 0.0000 0.5000  2 P 2.37
Ti 0.5000 0.0000 0.0000  2 P 2.37
Hf 0.0000 0.5000 0.0000  2 P 2.51
La 0.5000 0.5000 0.5000  4 Hf 3.35, 8 Ti 3.45

Results
ΔE_f: -0.202 eV/atom



(11)
# La2TmHfP4

A relaxed La2TmHfP4 crystal (PBE, Alexandria via LeMat-Bulk).

Unit cell a=4.0130 b=6.9590 c=7.0227 alpha=109.13 beta=90.00 gamma=90.00
Last column: nearest neighbours and their distance in Å.
Positions (direct):
La 0.5000 0.0000 0.5000  6 P 2.92-2.93
La 0.0000 0.5000 0.5000  6 P 2.99-3.00
Tm 0.5000 0.5000 0.0000  6 P 2.79
Hf 0.0000 0.0000 0.0000  6 P 2.70-2.72
P 0.5000 0.2319 0.2202  2 Hf 2.72, 1 Tm 2.79, 3 La 2.92-2.99
P 0.5000 0.7681 0.7798  2 Hf 2.72, 1 Tm 2.79, 3 La 2.92-2.99
P 0.0000 0.2491 0.7751  1 Hf 2.70, 2 Tm 2.79, 3 La 2.93-3.00
P 0.0000 0.7509 0.2249  1 Hf 2.70, 2 Tm 2.79, 3 La 2.93-3.00

Results
ΔE_f: -1.500 eV/atom



(12)
# LaHfPb2

A relaxed LaHfPb2 crystal (PBE, Alexandria via LeMat-Bulk).

Unit cell a=4.0054 b=4.0054 c=6.8716 alpha=90.00 beta=90.00 gamma=90.00
Last column: nearest neighbours and their distance in Å.
Positions (direct):
Pb 0.0000 0.0000 0.7786  1 Pb 3.04, 4 Hf 3.22
Pb 0.0000 0.0000 0.2214  1 Pb 3.04, 4 Hf 3.22
Hf 0.5000 0.5000 0.0000  8 Pb 3.22, 2 La 3.44
La 0.5000 0.5000 0.5000  8 Pb 3.42, 2 Hf 3.44

Results
distance to the lowest polymorph of the same formula: 0.016 eV per atom
ΔE_f: -0.176 eV/atom



| no. | raw total energy (eV/cell) |
| --- | --- |
| 1 | -37.97 |
| 2 | -66.82 |
| 3 | -76.27 |
| 4 | -35.20 |
| 5 | -26.83 |
| 6 | -34.70 |
| 7 | -26.39 |
| 8 | -58.06 |
| 9 | -60.56 |
| 10 | -37.09 |
| 11 | -57.92 |
| 12 | -23.00 |